A.
A geometry-optimized K3InP2O8 structure, computed with PBE-GGA.

Geometry as POSCAR:
```
K3InP2O8
1.0
9.8003 0.0000 0.0000
3.1923 9.2790 0.0000
0.0517 0.1350 9.9250
K In P O
12 4 8 32
Cartesian
0.0000 0.0000 0.0000
1.5733 4.5335 5.4905
4.0669 6.0326 8.2908
3.1079 2.3251 0.2812
4.9837 7.0364 4.5925
5.1645 3.9043 3.3550
7.5274 8.2444 1.2554
6.5270 4.5413 0.0639
8.2925 9.2656 4.5087
7.5112 5.5027 6.4178
8.3584 2.0228 4.8506
10.0907 6.8848 9.1420
1.8247 0.9540 6.5613
6.5396 1.2988 8.1519
9.7274 3.4780 1.6108
11.4327 7.8334 3.1890
2.7385 5.6435 1.7092
1.3914 0.6768 3.1811
4.7332 3.0156 6.7052
6.8164 8.5167 8.0105
6.8198 1.3944 1.6119
8.6296 5.6834 3.0656
9.4094 3.2658 8.1265
11.9105 8.2253 6.5810
1.8122 4.4607 1.3037
1.0521 1.6996 2.0520
3.5785 8.7707 3.0703
3.6518 8.5295 6.5777
1.2269 1.4126 4.5486
2.7491 5.8584 3.2811
4.1403 5.3503 1.1578
3.2907 2.5461 6.3449
2.5631 0.2637 8.5783
2.7995 0.1025 3.0118
4.9462 4.4325 6.1368
6.6029 8.5652 6.4506
4.9668 2.9701 8.2653
6.6099 7.0996 8.5738
5.3393 1.7626 1.7619
5.7987 1.9938 6.1300
8.2584 8.9755 8.4144
7.2141 5.8304 3.6407
8.6301 5.4903 1.4957
7.6797 2.6910 1.7994
7.8616 3.0091 8.0515
7.1041 0.7067 0.2409
9.4366 6.9785 3.4174
7.2198 0.3868 2.7357
9.3502 4.3940 3.6218
9.6258 4.7348 7.7808
11.2293 9.1292 7.6564
11.2662 8.5719 5.2013
9.9612 2.8694 9.5316
10.1070 2.3560 7.0680
11.7552 6.7507 6.9446
11.9263 6.9959 1.1610
```

Values from the calculation:
The volume comes out at 902.6 Å³ per cell.

B.
A geometry-optimized K3InP2O8 structure, computed with PBE-GGA.

Geometry as POSCAR:
```
K3InP2O8
1.0
5.5555 0.0000 0.0000
-2.7778 4.8112 0.0000
0.0000 0.0000 7.8583
K In P O
3 1 2 8
Cartesian
0.0000 0.0000 0.0000
0.0000 3.2075 5.8533
2.7778 1.6037 2.0049
0.0000 0.0000 3.9291
0.0000 3.2075 2.1053
2.7778 1.6037 5.7530
0.0000 1.7303 2.6245
-1.2793 3.9461 2.6245
0.0000 3.2075 0.5842
1.4985 0.8652 5.2338
1.2793 3.9461 2.6245
2.7778 1.6037 7.2740
4.0570 0.8652 5.2338
2.7778 3.0809 5.2338
```

Values from the calculation:
The volume comes out at 210.0 Å³ per cell.

A (29 meV/atom below the next structure)

A.
A geometry-optimized KInPO2 structure, computed with PBE-GGA.

Geometry as POSCAR:
```
KInPO2
1.0
4.3968 0.0000 0.0000
0.0000 4.3968 0.0000
0.0000 0.0000 5.2196
K In P O
1 1 1 2
Cartesian
0.0000 0.0000 0.0000
2.1984 2.1984 2.6098
2.1984 2.1984 0.0000
0.0000 2.1984 2.6098
2.1984 0.0000 2.6098
```

Values from the calculation:
The volume comes out at 100.9 Å³ per cell.

B.
A geometry-optimized KInPO2 structure, computed with PBE-GGA.

Geometry as POSCAR:
```
KInPO2
1.0
4.5590 0.0000 0.0000
0.0000 4.5590 0.0000
0.0000 0.0000 6.2432
K In P O
1 1 1 2
Cartesian
0.0000 0.0000 0.0000
2.2795 2.2795 3.1216
0.0000 0.0000 3.1216
0.0000 2.2795 0.0000
2.2795 0.0000 0.0000
```

Values from the calculation:
The volume comes out at 129.8 Å³ per cell.

A (1046 meV/atom below the next structure)